Li2PtCl | GGA-PBE | relaxed

Calculated values
N(E_F)   2.506 states/eV per cell
ΔE to the lowest computed polymorph   377 meV/atom
Density   6354 kg/m3
Formation energy (no corrections)   -531 meV/atom

a b c (Å): 6.825 6.825 5.551
angles (deg): 52.07 52.07 90.00
Sites, in units of the cell vectors:
Li  0.375  0.405  0.750
Pt  0.000  0.000  0.000
Li  0.155  0.625  0.250
Li  0.595  0.125  0.250
Cl  0.500  0.500  0.000
Li  0.875  0.845  0.750
Cl  0.250  0.750  0.500
Pt  0.750  0.250  0.500